Computed, not measured: a relaxed Tc2HOsPt crystal at the GGA-PBE level of DFT.

Unit cell a=3.9221 b=3.9221 c=3.9383 alpha=90.00 beta=90.00 gamma=90.00
Sites, in units of the cell vectors:
Tc (0.0000, 0.5000, 0.0000)
Tc (0.5000, 0.0000, 0.0000)
H (0.0000, 0.0000, 0.0000)
Os (0.0000, 0.0000, 0.5000)
Pt (0.5000, 0.5000, 0.5000)

Output
- Crystal system: tetragonal
- Electronic total energy: -8.24 eV per atom